{
  "formula": "ZnAsOs2",
  "functional": "GGA-PBE",
  "state": "optimized geometry",
  "ef_ev_per_atom": 0.3610,
  "relative_energy_mev_per_atom": 137,
  "cell": [[3.0365, 0.0000, 0.0000], [0.0000, 3.0365, 0.0000], [0.0000, 0.0000, 6.1511]],
  "species": ["Zn", "As", "Os", "Os"],
  "frac_coords": [[0.0000, 0.0000, 0.0000], [0.0000, 0.0000, 0.5000], [0.5000, 0.5000, 0.2584], [0.5000, 0.5000, 0.7416]]
}